(1)
Ba2AcEr (PBE, relaxed); ΔH_f (0 K) = 1.42 eV per formula unit; SG = No. 166
1.0
3.874 0.000 0.000
-1.937 3.355 0.000
0.000 0.000 42.381
Ba Ac Er
6 3 3
Direct
0.000 0.000 0.084 Ba
0.000 0.000 0.916 Ba
0.333 0.667 0.583 Ba
0.333 0.667 0.750 Ba
0.667 0.333 0.250 Ba
0.667 0.333 0.417 Ba
0.000 0.000 0.500 Ac
0.333 0.667 0.167 Ac
0.667 0.333 0.833 Ac
0.000 0.000 0.000 Er
0.333 0.667 0.667 Er
0.667 0.333 0.333 Er

(2)
BaAcErMg (PBE, relaxed); ΔH_f (0 K) = 0.87 eV per formula unit; SG = No. 216
1.0
8.495 0.000 0.000
0.000 8.495 0.000
0.000 0.000 8.495
Ba Ac Er Mg
4 4 4 4
Direct
0.000 0.000 0.000 Ba
0.000 0.500 0.500 Ba
0.500 0.000 0.500 Ba
0.500 0.500 0.000 Ba
0.250 0.250 0.250 Ac
0.250 0.750 0.750 Ac
0.750 0.250 0.750 Ac
0.750 0.750 0.250 Ac
0.000 0.000 0.500 Er
0.000 0.500 0.000 Er
0.500 0.000 0.000 Er
0.500 0.500 0.500 Er
0.250 0.250 0.750 Mg
0.250 0.750 0.250 Mg
0.750 0.250 0.250 Mg
0.750 0.750 0.750 Mg

(3)
Ba3Ac3ErO8 (PBE, relaxed); formation energy from raw total energies = -2.808 eV/atom; SG = No. 166
1.0
3.764 2.173 6.375
-3.764 2.173 6.375
0.000 -4.346 6.375
Ba Ac Er O
3 3 1 8
Direct
0.000 0.500 0.500 Ba
0.500 0.000 0.500 Ba
0.500 0.500 0.000 Ba
0.000 0.000 0.500 Ac
0.000 0.500 0.000 Ac
0.500 0.000 0.000 Ac
0.500 0.500 0.500 Er
0.238 0.238 0.238 O
0.261 0.715 0.715 O
0.285 0.285 0.739 O
0.285 0.739 0.285 O
0.715 0.261 0.715 O
0.715 0.715 0.261 O
0.739 0.285 0.285 O
0.762 0.762 0.762 O

(4)
BaAcErTl (PBE, relaxed); ΔH_f (0 K) = 0.54 eV per formula unit; SG = No. 216
1.0
8.421 0.000 0.000
0.000 8.421 0.000
0.000 0.000 8.421
Ba Ac Er Tl
4 4 4 4
Direct
0.000 0.000 0.000 Ba
0.000 0.500 0.500 Ba
0.500 0.000 0.500 Ba
0.500 0.500 0.000 Ba
0.250 0.250 0.750 Ac
0.250 0.750 0.250 Ac
0.750 0.250 0.250 Ac
0.750 0.750 0.750 Ac
0.000 0.000 0.500 Er
0.000 0.500 0.000 Er
0.500 0.000 0.000 Er
0.500 0.500 0.500 Er
0.250 0.250 0.250 Tl
0.250 0.750 0.750 Tl
0.750 0.250 0.750 Tl
0.750 0.750 0.250 Tl

(5)
BaAc4Eu (PBE, relaxed); ΔH_f (0 K) = 1.17 eV per formula unit; SG = No. 216
1.0
0.000 5.345 5.345
5.345 0.000 5.345
5.345 5.345 0.000
Ba Ac Eu
1 4 1
Direct
0.000 0.000 0.000 Ba
0.376 0.376 0.376 Ac
0.376 0.376 0.872 Ac
0.376 0.872 0.376 Ac
0.872 0.376 0.376 Ac
0.750 0.750 0.750 Eu

(6)
Ba2AcEu (PBE, relaxed); polymorph energy (0 for the lowest one) = 0.035 eV per atom; ΔH_f (0 K) = 0.47 eV per formula unit; SG = No. 123
1.0
5.870 0.000 0.000
0.000 5.870 0.000
0.000 0.000 6.035
Ba Ac Eu
2 1 1
Direct
0.000 0.500 0.000 Ba
0.500 0.000 0.000 Ba
0.000 0.000 0.500 Ac
0.500 0.500 0.500 Eu

(7)
BaAcEu2 (PBE, relaxed); polymorph energy (0 for the lowest one) = 0.035 eV per atom; ΔH_f (0 K) = 0.34 eV per formula unit; SG = No. 225
1.0
9.121 0.000 0.000
0.000 9.121 0.000
0.000 0.000 9.121
Ba Ac Eu
4 4 8
Direct
0.000 0.000 0.000 Ba
0.000 0.500 0.500 Ba
0.500 0.000 0.500 Ba
0.500 0.500 0.000 Ba
0.000 0.000 0.500 Ac
0.000 0.500 0.000 Ac
0.500 0.000 0.000 Ac
0.500 0.500 0.500 Ac
0.250 0.250 0.250 Eu
0.250 0.250 0.750 Eu
0.250 0.750 0.250 Eu
0.250 0.750 0.750 Eu
0.750 0.250 0.250 Eu
0.750 0.250 0.750 Eu
0.750 0.750 0.250 Eu
0.750 0.750 0.750 Eu

(8)
BaAcEu4 (PBE, relaxed); ΔH_f (0 K) = 0.75 eV per formula unit; SG = No. 216
1.0
0.000 5.214 5.214
5.214 0.000 5.214
5.214 5.214 0.000
Ba Ac Eu
1 1 4
Direct
0.000 0.000 0.000 Ba
0.250 0.250 0.250 Ac
0.131 0.623 0.623 Eu
0.623 0.131 0.623 Eu
0.623 0.623 0.131 Eu
0.623 0.623 0.623 Eu

(9)
BaAcEu2 (PBE, relaxed); polymorph energy (0 for the lowest one) = 0.000 eV per atom; ΔH_f (0 K) = 0.19 eV per formula unit; SG = No. 166
1.0
4.046 0.000 0.000
-2.023 3.504 0.000
0.000 0.000 40.022
Ba Ac Eu
3 3 6
Direct
0.000 0.000 0.000 Ba
0.333 0.667 0.667 Ba
0.667 0.333 0.333 Ba
0.000 0.000 0.500 Ac
0.333 0.667 0.167 Ac
0.667 0.333 0.833 Ac
0.000 0.000 0.246 Eu
0.000 0.000 0.754 Eu
0.333 0.667 0.420 Eu
0.333 0.667 0.913 Eu
0.667 0.333 0.087 Eu
0.667 0.333 0.580 Eu

(10)
Ba2AcEu (PBE, relaxed); polymorph energy (0 for the lowest one) = 0.029 eV per atom; ΔH_f (0 K) = 0.45 eV per formula unit; SG = No. 225
1.0
9.432 0.000 0.000
0.000 9.432 0.000
0.000 0.000 9.432
Ba Ac Eu
8 4 4
Direct
0.250 0.250 0.250 Ba
0.250 0.250 0.750 Ba
0.250 0.750 0.250 Ba
0.250 0.750 0.750 Ba
0.750 0.250 0.250 Ba
0.750 0.250 0.750 Ba
0.750 0.750 0.250 Ba
0.750 0.750 0.750 Ba
0.000 0.000 0.000 Ac
0.000 0.500 0.500 Ac
0.500 0.000 0.500 Ac
0.500 0.500 0.000 Ac
0.000 0.000 0.500 Eu
0.000 0.500 0.000 Eu
0.500 0.000 0.000 Eu
0.500 0.500 0.500 Eu

(11)
Ba2AcEu (PBE, relaxed); polymorph energy (0 for the lowest one) = 0.000 eV per atom; ΔH_f (0 K) = 0.33 eV per formula unit; SG = No. 123
1.0
4.153 0.000 0.000
0.000 4.153 0.000
0.000 0.000 12.124
Ba Ac Eu
2 1 1
Direct
0.000 0.000 0.246 Ba
0.000 0.000 0.754 Ba
0.500 0.500 0.000 Ac
0.500 0.500 0.500 Eu

(12)
BaAcEu2 (PBE, relaxed); polymorph energy (0 for the lowest one) = 0.003 eV per atom; ΔH_f (0 K) = 0.20 eV per formula unit; SG = No. 123
1.0
4.074 0.000 0.000
0.000 4.074 0.000
0.000 0.000 11.530
Ba Ac Eu
1 1 2
Direct
0.000 0.000 0.000 Ba
0.000 0.000 0.500 Ac
0.500 0.500 0.268 Eu
0.500 0.500 0.732 Eu